VASP calculation (PBE) on a geometry-optimized La3YP structure.

Cell and atoms, written as POSCAR:
```
La3YP
1.0
-5.370 -1.690 -0.830
1.219 -5.032 2.362
-1.436 2.051 5.110
P La Y
1 3 1
direct
0.000 0.000 0.000 P
0.000 0.000 0.500 La
0.500 0.000 0.000 La
0.000 0.500 0.000 La
0.500 0.500 0.500 Y
```

Summary:
DFT total energy, eV for the cell shown: -28.81
Polymorph energy (0 for the lowest one), eV per atom: 0.0000
Formation energy from the elements, eV per formula unit: -2.151

---

VASP calculation (PBE) on a geometry-optimized La5Y3P8 structure.

Cell and atoms, written as POSCAR:
```
La5Y3P8
1.0
7.256 0.000 4.156
2.438 6.834 4.156
0.030 0.021 8.359
Y P La
3 8 5
direct
0.000 0.000 0.500 Y
0.500 0.000 0.500 Y
0.000 0.500 0.500 Y
0.246 0.246 0.262 P
0.754 0.754 0.738 P
0.250 0.250 0.741 P
0.750 0.241 0.259 P
0.250 0.759 0.741 P
0.750 0.750 0.259 P
0.241 0.750 0.259 P
0.759 0.250 0.741 P
0.500 0.500 0.000 La
0.500 0.000 0.000 La
0.500 0.500 0.500 La
0.000 0.500 0.000 La
0.000 0.000 0.000 La
```

Summary:
DFT total energy, eV for the cell shown: -112.56
Formation energy from the elements, eV per formula unit: -25.255

---

VASP calculation (PBE) on a geometry-optimized La3YP structure.

Cell and atoms, written as POSCAR:
```
La3YP
1.0
5.631 0.000 0.000
0.000 5.631 0.000
0.000 0.000 5.631
P La Y
1 3 1
direct
0.500 0.500 0.500 P
0.000 0.500 0.000 La
0.000 0.000 0.500 La
0.500 0.000 0.000 La
0.000 0.000 0.000 Y
```

Summary:
DFT total energy, eV for the cell shown: -23.12
Polymorph energy (0 for the lowest one), eV per atom: 1.1375
Formation energy from the elements, eV per formula unit: 3.537

---

VASP calculation (PBE) on a geometry-optimized LaY3P4 structure.

Cell and atoms, written as POSCAR:
```
LaY3P4
1.0
-2.224 -3.289 -0.958
0.650 -2.369 6.626
-5.340 2.469 3.915
P Y La
4 3 1
direct
0.000 0.241 0.259 P
0.000 0.759 0.741 P
0.500 0.754 0.254 P
0.500 0.246 0.746 P
0.000 0.000 0.000 Y
0.000 0.500 0.500 Y
0.500 0.000 0.500 Y
0.500 0.500 0.000 La
```

Summary:
DFT total energy, eV for the cell shown: -58.75
Formation energy from the elements, eV per formula unit: -12.793

---

VASP calculation (PBE) on a geometry-optimized LaYP2 structure.

Cell and atoms, written as POSCAR:
```
LaYP2
1.0
3.695 0.000 0.000
0.000 3.572 0.000
0.000 1.936 7.070
La Y P
1 1 2
direct
0.500 0.750 0.750 La
0.500 0.250 0.250 Y
0.000 0.493 0.487 P
0.000 0.007 0.013 P
```

Summary:
DFT total energy, eV for the cell shown: -26.90
Polymorph energy (0 for the lowest one), eV per atom: 0.4199
Formation energy from the elements, eV per formula unit: -4.686

---

VASP calculation (PBE) on a geometry-optimized La4YP structure.

Cell and atoms, written as POSCAR:
```
La4YP
1.0
0.000 4.589 4.589
4.589 0.000 4.589
4.589 4.589 0.000
La Y P
4 1 1
direct
0.879 0.374 0.374 La
0.374 0.374 0.879 La
0.374 0.879 0.374 La
0.374 0.374 0.374 La
0.000 0.000 0.000 Y
0.750 0.750 0.750 P
```

Summary:
DFT total energy, eV for the cell shown: -29.56
Formation energy from the elements, eV per formula unit: 2.026